The following is a GGA-PBE calculation of a geometry-optimized Gd3Er2TmTe2Ir structure, from the Open Quantum Materials Database.

a b c (Å): 4.000 8.321 8.321
angles (deg): 119.95 90.00 90.00
Element x y z (fractional)
Gd1 0.000 0.000 0.000
Gd2 0.000 0.202 0.601
Gd3 0.000 0.601 0.202
Er1 0.500 0.601 0.840
Er2 0.500 0.840 0.601
Tm1 0.500 0.363 0.363
Te1 0.500 0.267 0.935
Te2 0.500 0.935 0.267
Ir1 0.000 0.600 0.600

symmetry: Amm2 (38)
mass density: 9.84 Mg/m³
E_tot: -50.66 eV/cell